# BaCaAu4 (PBE-GGA, optimized geometry)
# Calculated formation energy (eV per atom): -0.726
# Space group: P6/mmm
# Magnetic moment (μB per formula unit): 0.000
# N(E_F) (states/eV/cell): 1.64
# E above lowest polymorph (meV per atom): 0
data_BaCaAu4
_space_group_name_H-M_alt 'P 1'
_space_group_IT_number 1
_cell_length_a 4.811
_cell_length_b 4.811
_cell_length_c 7.840
_cell_angle_alpha 90.00
_cell_angle_beta 90.00
_cell_angle_gamma 120.00
loop_
_space_group_symop_operation_xyz
'x,y,z'
loop_
_atom_site_label
_atom_site_fract_x
_atom_site_fract_y
_atom_site_fract_z
Ba1 0.000 0.000 0.000
Ca1 0.000 0.000 0.500
Au1 0.333 0.667 0.291
Au2 0.333 0.667 0.709
Au3 0.667 0.333 0.291
Au4 0.667 0.333 0.709